Hf2InC2 PBE relaxed; ΔE_f = 0.17 eV/atom; theoretical density = 12.1 Mg/m³
1.0
6.571 0.000 0.000
0.000 6.571 0.000
0.000 0.000 3.164
Hf In C
4 2 4
Cartesian
0.979 2.306 0.000 Hf
2.306 5.592 0.000 Hf
4.265 0.979 0.000 Hf
5.592 4.265 0.000 Hf
0.000 0.000 1.582 In
3.286 3.286 1.582 In
1.011 4.297 1.582 C
2.275 1.011 1.582 C
4.297 5.560 1.582 C
5.560 2.275 1.582 C